Record 1
First-principles (PBE) data for a relaxed Zn2HgW crystal, as listed in the Alexandria database.

Unit cell a=10.4742 b=2.8359 c=5.0139 alpha=90.00 beta=116.26 gamma=90.00
Last column: nearest neighbours and their distance in Å.
Space group Cm (No. 8)
Symmetry-distinct sites (fractional):
Zn1 0.0000 0.0000 0.0000 [2 per cell]  3 Hg 2.77-2.89, 4 W 2.81-2.95, 5 Zn 2.84-2.93
Zn2 0.2482 0.0000 0.5717 [2 per cell]  3 W 2.81-2.82, 5 Zn 2.84-2.93, 4 Hg 2.88
Hg1 0.2545 0.5000 0.0782 [2 per cell]  7 Zn 2.77-2.89, 2 Hg 2.84, 3 W 2.86-2.95
W1 0.0053 0.5000 0.5212 [2 per cell]  7 Zn 2.81-2.95, 2 W 2.84, 3 Hg 2.86-2.95

Properties
Its total moment is 0.0 μB per formula unit. The formation energy comes out at 0.388 eV per atom.


Record 2
First-principles (PBE) data for a relaxed KRbInHg crystal, as listed in the Alexandria database.

Unit cell a=8.3470 b=8.3470 c=8.3470 alpha=90.00 beta=90.00 gamma=90.00
Last column: nearest neighbours and their distance in Å.
Space group F-43m (No. 216)
Symmetry-distinct sites (fractional):
K1 0.0000 0.0000 0.0000 [4 per cell]  4 In 3.61, 4 Rb 3.61
Rb1 0.2500 0.2500 0.7500 [4 per cell]  4 K 3.61, 4 Hg 3.61
In1 0.2500 0.2500 0.2500 [4 per cell]  4 Hg 3.61, 4 K 3.61
Hg1 0.0000 0.0000 0.5000 [4 per cell]  4 In 3.61, 4 Rb 3.61

Properties
Its total moment is 0.0 μB per formula unit. The formation energy comes out at -0.030 eV per atom. The excess energy over the best structure of this formula in the dataset is 104 meV per atom.


Record 3
First-principles (PBE) data for a relaxed LaAlO3 crystal, as listed in the Alexandria database.

Unit cell a=5.6906 b=5.6906 c=17.0536 alpha=90.00 beta=90.00 gamma=120.00
Last column: nearest neighbours and their distance in Å.
Space group R-3c (No. 167, hexagonal axes)
Symmetry-distinct sites (fractional):
La1 0.0000 0.0000 0.0000 [6 per cell]  6 O 2.44
Al1 0.0000 0.0000 0.2500 [6 per cell]  3 O 1.72
O1 0.0000 0.3028 0.2500 [18 per cell]  1 Al 1.72

Properties
Its total moment is 0.0 μB per formula unit. The calculation puts the formation energy from raw total energies at -3028 meV per atom.


Record 4
First-principles (PBE) data for a relaxed Li8Tl2Bi3 crystal, as listed in the Alexandria database.

Unit cell a=5.8149 b=5.8149 c=30.7374 alpha=90.00 beta=90.00 gamma=120.00
Last column: nearest neighbours and their distance in Å.
Space group R-3m (No. 166, hexagonal axes)
Symmetry-distinct sites (fractional):
Li1 0.0000 0.0000 0.2150 [6 per cell]  1 Bi 2.72, 1 Tl 2.75
Li2 0.0033 0.5016 0.2848 [18 per cell]  4 Li 2.88-2.94, 1 Tl 2.91, 3 Bi 2.92-2.96
Tl1 0.0000 0.0000 0.1254 [6 per cell]  4 Li 2.75-2.91
Bi1 0.0000 0.0000 0.3036 [6 per cell]  10 Li 2.72-2.96
Bi2 0.0000 0.0000 0.5000 [3 per cell]  6 Tl 3.59, 12 Li 3.67-3.99

Properties
Its total moment is 0.0 μB per formula unit. The formation energy comes out at -0.261 eV per atom.